Entry 1:
{"formula": "Cd2InGaHg4", "functional": "PBE-GGA", "state": "relaxed", "magnetic_moment_mub_per_fu": 0.00, "delta_e_f_mev_per_atom": 32, "final_energy_ev_per_atom": -1.069, "lattice": [[6.963, 0.000, 0.000], [0.000, 3.489, 0.000], [-1.473, 0.000, 8.420]], "species": ["Cd", "Cd", "In", "Ga", "Hg", "Hg", "Hg", "Hg"], "fractional_positions": [[0.000, 0.000, 0.000], [0.500, 0.500, 0.000], [0.000, 0.500, 0.500], [0.500, 0.000, 0.500], [0.256, 0.500, 0.254], [0.265, 0.000, 0.748], [0.735, 0.000, 0.252], [0.744, 0.500, 0.746]]}

Entry 2:
{"formula": "Cd2InGa2Hg2", "functional": "PBE-GGA", "state": "relaxed", "magnetic_moment_mub_per_fu": 0.00, "delta_e_f_mev_per_atom": 69, "final_energy_ev_per_atom": -1.535, "lattice": [[5.032, -2.245, 0.000], [5.032, 2.245, 0.000], [-3.440, 0.000, 7.650]], "species": ["Cd", "Cd", "In", "Ga", "Ga", "Hg", "Hg"], "fractional_positions": [[0.002, 0.002, 0.269], [0.998, 0.998, 0.731], [0.500, 0.500, 0.000], [0.248, 0.248, 0.119], [0.752, 0.752, 0.881], [0.244, 0.244, 0.626], [0.756, 0.756, 0.374]]}

Entry 3:
{"formula": "Cd6In2Ga2Hg", "functional": "PBE-GGA", "state": "relaxed", "magnetic_moment_mub_per_fu": 0.00, "delta_e_f_mev_per_atom": 52, "final_energy_ev_per_atom": -1.522, "lattice": [[6.714, 0.000, 0.000], [3.175, 6.045, 0.000], [0.361, 3.586, 6.518]], "species": ["Cd", "Cd", "Cd", "Cd", "Cd", "Cd", "In", "In", "Ga", "Ga", "Hg"], "fractional_positions": [[0.046, 0.263, 0.203], [0.241, 0.696, 0.472], [0.386, 0.457, 0.191], [0.614, 0.543, 0.809], [0.759, 0.304, 0.528], [0.954, 0.737, 0.797], [0.288, 0.132, 0.613], [0.712, 0.868, 0.387], [0.384, 0.252, 0.921], [0.616, 0.748, 0.079], [0.000, 0.000, 0.000]]}

Entry 4:
{"formula": "CdInGaHg2", "functional": "PBE-GGA", "state": "relaxed", "magnetic_moment_mub_per_fu": 0.00, "delta_e_f_mev_per_atom": 187, "final_energy_ev_per_atom": -1.269, "lattice": [[5.259, 0.000, 0.000], [0.000, 5.259, 0.000], [0.000, 0.000, 5.590]], "species": ["Cd", "In", "Ga", "Hg", "Hg"], "fractional_positions": [[0.000, 0.000, 0.000], [0.500, 0.500, 0.000], [0.500, 0.500, 0.500], [0.000, 0.500, 0.500], [0.500, 0.000, 0.500]]}

Entry 5:
{"formula": "Cd2In3GaHg3", "functional": "PBE-GGA", "state": "relaxed", "magnetic_moment_mub_per_fu": 0.00, "delta_e_f_mev_per_atom": 38, "final_energy_ev_per_atom": -1.515, "lattice": [[8.481, 0.000, 0.000], [-4.241, 7.345, 0.000], [0.000, 0.000, 3.618]], "species": ["Cd", "Cd", "In", "In", "In", "Ga", "Hg", "Hg", "Hg"], "fractional_positions": [[0.333, 0.667, 0.000], [0.667, 0.333, 0.000], [0.000, 0.381, 0.500], [0.381, 0.000, 0.500], [0.619, 0.619, 0.500], [0.000, 0.000, 0.500], [0.000, 0.721, 0.000], [0.279, 0.279, 0.000], [0.721, 0.000, 0.000]]}

Entry 6:
{"formula": "Cd2In6GaHg", "functional": "PBE-GGA", "state": "relaxed", "magnetic_moment_mub_per_fu": 0.00, "delta_e_f_mev_per_atom": 69, "final_energy_ev_per_atom": -2.090, "lattice": [[8.278, 0.000, 0.000], [0.000, 7.124, 0.000], [-6.320, 0.000, 9.104]], "species": ["Cd", "Cd", "Cd", "Cd", "In", "In", "In", "In", "In", "In", "In", "In", "In", "In", "In", "In", "Ga", "Ga", "Hg", "Hg"], "fractional_positions": [[0.134, 0.098, 0.139], [0.134, 0.402, 0.639], [0.866, 0.598, 0.361], [0.866, 0.902, 0.861], [0.136, 0.188, 0.867], [0.136, 0.312, 0.367], [0.306, 0.639, 0.941], [0.306, 0.861, 0.441], [0.488, 0.147, 0.735], [0.488, 0.353, 0.235], [0.512, 0.647, 0.765], [0.512, 0.853, 0.265], [0.694, 0.139, 0.559], [0.694, 0.361, 0.059], [0.864, 0.688, 0.633], [0.864, 0.812, 0.133], [0.500, 0.000, 0.000], [0.500, 0.500, 0.500], [0.000, 0.000, 0.500], [0.000, 0.500, 0.000]]}

Entry 7:
{"formula": "CdIn2GaHg5", "functional": "PBE-GGA", "state": "relaxed", "magnetic_moment_mub_per_fu": 0.00, "delta_e_f_mev_per_atom": 29, "final_energy_ev_per_atom": -1.185, "lattice": [[1.726, -8.758, 0.000], [1.726, 8.758, 0.000], [0.000, 0.000, 15.435]], "species": ["Cd", "Cd", "In", "In", "In", "In", "Ga", "Ga", "Hg", "Hg", "Hg", "Hg", "Hg", "Hg", "Hg", "Hg", "Hg", "Hg"], "fractional_positions": [[0.010, 0.990, 0.500], [0.990, 0.010, 0.000], [0.314, 0.686, 0.869], [0.356, 0.644, 0.220], [0.644, 0.356, 0.720], [0.686, 0.314, 0.369], [0.346, 0.654, 0.539], [0.654, 0.346, 0.039], [0.032, 0.968, 0.316], [0.139, 0.861, 0.888], [0.178, 0.822, 0.544], [0.185, 0.815, 0.193], [0.482, 0.518, 0.654], [0.518, 0.482, 0.154], [0.815, 0.185, 0.693], [0.822, 0.178, 0.044], [0.861, 0.139, 0.388], [0.968, 0.032, 0.816]]}

Entry 8:
{"formula": "CdInGaHg2", "functional": "PBE-GGA", "state": "relaxed", "magnetic_moment_mub_per_fu": 0.00, "delta_e_f_mev_per_atom": 95, "final_energy_ev_per_atom": -1.362, "lattice": [[-2.208, 2.208, 6.562], [2.208, -2.208, 6.562], [2.208, 2.208, -6.562]], "species": ["Cd", "In", "Ga", "Hg", "Hg"], "fractional_positions": [[0.000, 0.000, 0.000], [0.382, 0.382, 0.000], [0.796, 0.796, 0.000], [0.156, 0.656, 0.500], [0.656, 0.156, 0.500]]}

Entry 9:
{"formula": "CdInGaHg6", "functional": "PBE-GGA", "state": "relaxed", "magnetic_moment_mub_per_fu": 0.00, "delta_e_f_mev_per_atom": 28, "final_energy_ev_per_atom": -0.915, "lattice": [[6.256, 0.000, 0.000], [3.119, 5.491, 0.000], [0.213, 0.027, 6.821]], "species": ["Cd", "In", "Ga", "Hg", "Hg", "Hg", "Hg", "Hg", "Hg"], "fractional_positions": [[0.000, 0.000, 0.000], [0.816, 0.367, 0.501], [0.617, 0.766, 0.001], [0.093, 0.408, 0.139], [0.313, 0.723, 0.341], [0.320, 0.065, 0.684], [0.498, 0.409, 0.862], [0.616, 0.065, 0.316], [0.963, 0.723, 0.661]]}

Entry 10:
{"formula": "Cd2InGaHg", "functional": "PBE-GGA", "state": "relaxed", "magnetic_moment_mub_per_fu": 0.00, "delta_e_f_mev_per_atom": 193, "final_energy_ev_per_atom": -1.387, "lattice": [[5.229, 0.000, 0.000], [0.000, 5.229, 0.000], [0.000, 0.000, 5.553]], "species": ["Cd", "Cd", "In", "Ga", "Hg"], "fractional_positions": [[0.000, 0.500, 0.000], [0.500, 0.000, 0.000], [0.000, 0.000, 0.500], [0.000, 0.000, 0.000], [0.500, 0.500, 0.500]]}

Entry 11:
{"formula": "Cd2InGaHg8", "functional": "PBE-GGA", "state": "relaxed", "magnetic_moment_mub_per_fu": 0.00, "delta_e_f_mev_per_atom": 70, "final_energy_ev_per_atom": -0.764, "lattice": [[6.650, 0.000, 0.000], [-3.325, 5.759, 0.000], [0.000, 0.000, 8.461]], "species": ["Cd", "Cd", "In", "Ga", "Hg", "Hg", "Hg", "Hg", "Hg", "Hg", "Hg", "Hg"], "fractional_positions": [[0.333, 0.667, 0.418], [0.667, 0.333, 0.582], [0.000, 0.000, 0.000], [0.000, 0.000, 0.500], [0.178, 0.356, 0.734], [0.178, 0.822, 0.734], [0.333, 0.667, 0.066], [0.356, 0.178, 0.266], [0.644, 0.822, 0.734], [0.667, 0.333, 0.934], [0.822, 0.178, 0.266], [0.822, 0.644, 0.266]]}

Entry 12:
{"formula": "CdInGaHg2", "functional": "PBE-GGA", "state": "relaxed", "magnetic_moment_mub_per_fu": 0.00, "delta_e_f_mev_per_atom": 167, "final_energy_ev_per_atom": -1.290, "lattice": [[5.281, 0.000, 0.000], [0.000, 5.281, 0.000], [0.000, 0.000, 5.323]], "species": ["Cd", "In", "Ga", "Hg", "Hg"], "fractional_positions": [[0.000, 0.000, 0.000], [0.500, 0.500, 0.000], [0.000, 0.000, 0.500], [0.000, 0.500, 0.500], [0.500, 0.000, 0.500]]}